# CsTeAu

Crystalline CsTeAu at its relaxed geometry (PBE-GGA, the Alexandria database).

a = 8.895 Å, b = 7.808 Å, c = 7.790 Å
α = 84.43°, β = 90.00°, γ = 90.00°
Sites, in units of the cell vectors:
1 Te 0.316 0.117 0.882
2 Au 0.079 0.267 0.734
3 Au 0.421 0.767 0.234
4 Te 0.816 0.383 0.618
5 Te 0.184 0.617 0.382
6 Cs 0.002 0.210 0.214
7 Cs 0.502 0.290 0.286
8 Au 0.921 0.733 0.266
9 Au 0.579 0.233 0.766
10 Cs 0.498 0.710 0.714
11 Cs 0.998 0.790 0.786
12 Te 0.684 0.883 0.118

Results
- uncorrected formation energy (eV/atom) = -0.68
- space group = P2_1/c (14)